A relaxed structure of Pa2Al2CrSi4. Source: the Alexandria database, functional PBE-GGA.

As for the formation energy from raw total energies: -0.40 eV/atom.

a = 5.9819 Å, b = 5.9819 Å, c = 5.9819 Å
α = 119.50°, β = 119.50°, γ = 90.87°
Last column: nearest neighbours and their distance in Å.
Sites, in units of the cell vectors:
Pa1 0.2500 0.7500 0.5000  8 Si 3.00, 4 Al 3.03
Pa2 0.7500 0.2500 0.5000  8 Si 3.00, 4 Al 3.03
Al1 0.2114 0.2114 0.0000  1 Cr 2.42, 4 Si 2.60
Al2 0.7886 0.7886 0.0000  1 Cr 2.42, 4 Si 2.60
Cr1 0.5000 0.5000 0.0000  4 Si 2.36, 2 Al 2.42
Si1 0.2233 0.2233 0.4466  1 Cr 2.36, 2 Al 2.60
Si2 0.2233 0.7767 0.0000  1 Cr 2.36, 2 Al 2.60
Si3 0.7767 0.2233 0.0000  1 Cr 2.36, 2 Al 2.60
Si4 0.7767 0.7767 0.5534  1 Cr 2.36, 2 Al 2.60



A relaxed structure of Zr3Be2Ga3. Source: the Alexandria database, functional PBE-GGA.

For the energy, the calculation gives -92.4 eV for the cell shown.

a = 5.3189 Å, b = 5.3189 Å, c = 13.5922 Å
α = 90.00°, β = 90.00°, γ = 137.03°
Last column: nearest neighbours and their distance in Å.
Sites, in units of the cell vectors:
Zr1 0.0746 0.9254 0.6135  7 Ga 2.79-3.11, 3 Be 2.85-2.87
Zr2 0.0746 0.9254 0.8865  7 Ga 2.79-3.11, 3 Be 2.85-2.87
Zr3 0.3602 0.6398 0.7500  4 Be 2.84, 5 Ga 2.85-2.87
Zr4 0.6398 0.3602 0.2500  4 Be 2.84, 5 Ga 2.85-2.87
Zr5 0.9254 0.0746 0.1135  7 Ga 2.79-3.11, 3 Be 2.85-2.87
Zr6 0.9254 0.0746 0.3865  7 Ga 2.79-3.11, 3 Be 2.85-2.87
Be1 0.2132 0.7867 0.1075  4 Ga 2.32-2.54
Be2 0.2132 0.7867 0.3925  4 Ga 2.32-2.54
Be3 0.7867 0.2132 0.6075  4 Ga 2.32-2.54
Be4 0.7867 0.2132 0.8925  4 Ga 2.32-2.54
Ga1 0.3516 0.6484 0.2500  2 Be 2.37
Ga2 0.3716 0.6284 0.5393  3 Be 2.32-2.54
Ga3 0.3716 0.6284 0.9607  3 Be 2.32-2.54
Ga4 0.6284 0.3716 0.0393  3 Be 2.32-2.54
Ga5 0.6284 0.3716 0.4607  3 Be 2.32-2.54
Ga6 0.6484 0.3516 0.7500  2 Be 2.37



A relaxed structure of Dy12Tm6Tl. Source: the Alexandria database, functional PBE-GGA.

The excess energy over the best structure of this formula in the dataset is 0.095 eV/atom.

a = 8.4076 Å, b = 8.4076 Å, c = 8.4076 Å
α = 88.78°, β = 88.78°, γ = 88.78°
Last column: nearest neighbours and their distance in Å.
Sites, in units of the cell vectors:
Dy1 0.0390 0.2817 0.9333  3 Tm 3.27-3.45, 6 Dy 3.28-3.64
Dy2 0.0667 0.9610 0.7183  3 Tm 3.27-3.45, 6 Dy 3.28-3.64
Dy3 0.1355 0.3195 0.4874  4 Tm 3.38-3.64, 5 Dy 3.45-3.76, 1 Tl 3.45
Dy4 0.2817 0.9333 0.0390  3 Tm 3.27-3.45, 6 Dy 3.28-3.64
Dy5 0.3195 0.4874 0.1355  4 Tm 3.38-3.64, 5 Dy 3.45-3.76, 1 Tl 3.45
Dy6 0.4874 0.1355 0.3195  4 Tm 3.38-3.64, 5 Dy 3.45-3.76, 1 Tl 3.45
Dy7 0.5126 0.8645 0.6805  4 Tm 3.38-3.64, 5 Dy 3.45-3.76, 1 Tl 3.45
Dy8 0.6805 0.5126 0.8645  4 Tm 3.38-3.64, 5 Dy 3.45-3.76, 1 Tl 3.45
Dy9 0.7183 0.0667 0.9610  3 Tm 3.27-3.45, 6 Dy 3.28-3.64
Dy10 0.8645 0.6805 0.5126  4 Tm 3.38-3.64, 5 Dy 3.45-3.76, 1 Tl 3.45
Dy11 0.9333 0.0390 0.2817  3 Tm 3.27-3.45, 6 Dy 3.28-3.64
Dy12 0.9610 0.7183 0.0667  3 Tm 3.27-3.45, 6 Dy 3.28-3.64
Tm1 0.2093 0.5979 0.7587  7 Dy 3.27-3.64, 1 Tl 3.34, 2 Tm 3.39
Tm2 0.2413 0.7907 0.4021  7 Dy 3.27-3.64, 1 Tl 3.34, 2 Tm 3.39
Tm3 0.4021 0.2413 0.7907  7 Dy 3.27-3.64, 1 Tl 3.34, 2 Tm 3.39
Tm4 0.5979 0.7587 0.2093  7 Dy 3.27-3.64, 1 Tl 3.34, 2 Tm 3.39
Tm5 0.7587 0.2093 0.5979  7 Dy 3.27-3.64, 1 Tl 3.34, 2 Tm 3.39
Tm6 0.7907 0.4021 0.2413  7 Dy 3.27-3.64, 1 Tl 3.34, 2 Tm 3.39
Tl1 0.5000 0.5000 0.5000  6 Tm 3.34, 6 Dy 3.45



A relaxed structure of ScSbSe. Source: the Alexandria database, functional PBE-GGA.

As for the formation energy from raw total energies: -0.98 eV/atom.

a = 6.8382 Å, b = 3.7106 Å, c = 7.0375 Å
α = 90.00°, β = 116.22°, γ = 90.00°
Last column: nearest neighbours and their distance in Å.
Sites, in units of the cell vectors:
Sc1 0.0000 0.0000 0.0000  4 Se 2.72-2.74
Sc2 0.3595 0.0000 0.7635  4 Se 2.69-2.83
Sb1 0.1038 0.5000 0.3932  2 Sb 2.87, 4 Sc 3.04-3.14
Sb2 0.8409 0.0000 0.4911  2 Sb 2.87, 1 Sc 3.20
Se1 0.2982 0.5000 0.0085  4 Sc 2.69-2.74
Se2 0.6855 0.5000 0.7977  4 Sc 2.72-2.83



A relaxed structure of TaSb4Os. Source: the Alexandria database, functional PBE-GGA.

As for the formation energy from raw total energies: 1.48 eV/atom.

a = 5.8687 Å, b = 5.8687 Å, c = 5.8687 Å
α = 60.00°, β = 60.00°, γ = 60.00°
Last column: nearest neighbours and their distance in Å.
Sites, in units of the cell vectors:
Ta1 0.0000 0.0000 0.0000  12 Sb 3.44, 4 Os 3.59
Sb1 0.3751 0.3751 0.3751  6 Sb 2.93-2.94
Sb2 0.3751 0.3751 0.8748  6 Sb 2.93-2.94
Sb3 0.3751 0.8748 0.3751  6 Sb 2.93-2.94
Sb4 0.8748 0.3751 0.3751  6 Sb 2.93-2.94
Os1 0.7500 0.7500 0.7500  12 Sb 3.44, 4 Ta 3.59



A relaxed structure of NbBrO3. Source: the Alexandria database, functional PBE-GGA.

As for the formation energy from raw total energies: 0.67 eV/atom.

a = 4.0325 Å, b = 4.0325 Å, c = 4.0325 Å
α = 90.00°, β = 90.00°, γ = 90.00°
Last column: nearest neighbours and their distance in Å.
Sites, in units of the cell vectors:
Nb1 0.0000 0.0000 0.0000  12 O 2.85
Br1 0.5000 0.5000 0.5000  6 O 2.02
O1 0.0000 0.5000 0.5000  2 Br 2.02
O2 0.5000 0.0000 0.5000  2 Br 2.02
O3 0.5000 0.5000 0.0000  2 Br 2.02



Copy entry 2 word for word.
A relaxed structure of Zr3Be2Ga3. Source: the Alexandria database, functional PBE-GGA.

For the energy, the calculation gives -92.4 eV for the cell shown.

a = 5.3189 Å, b = 5.3189 Å, c = 13.5922 Å
α = 90.00°, β = 90.00°, γ = 137.03°
Last column: nearest neighbours and their distance in Å.
Sites, in units of the cell vectors:
Zr1 0.0746 0.9254 0.6135  7 Ga 2.79-3.11, 3 Be 2.85-2.87
Zr2 0.0746 0.9254 0.8865  7 Ga 2.79-3.11, 3 Be 2.85-2.87
Zr3 0.3602 0.6398 0.7500  4 Be 2.84, 5 Ga 2.85-2.87
Zr4 0.6398 0.3602 0.2500  4 Be 2.84, 5 Ga 2.85-2.87
Zr5 0.9254 0.0746 0.1135  7 Ga 2.79-3.11, 3 Be 2.85-2.87
Zr6 0.9254 0.0746 0.3865  7 Ga 2.79-3.11, 3 Be 2.85-2.87
Be1 0.2132 0.7867 0.1075  4 Ga 2.32-2.54
Be2 0.2132 0.7867 0.3925  4 Ga 2.32-2.54
Be3 0.7867 0.2132 0.6075  4 Ga 2.32-2.54
Be4 0.7867 0.2132 0.8925  4 Ga 2.32-2.54
Ga1 0.3516 0.6484 0.2500  2 Be 2.37
Ga2 0.3716 0.6284 0.5393  3 Be 2.32-2.54
Ga3 0.3716 0.6284 0.9607  3 Be 2.32-2.54
Ga4 0.6284 0.3716 0.0393  3 Be 2.32-2.54
Ga5 0.6284 0.3716 0.4607  3 Be 2.32-2.54
Ga6 0.6484 0.3516 0.7500  2 Be 2.37